Entry from the Alexandria database: a relaxed structure of NiIrBr2 (GGA-PBEsol).

Cell: 3.5424 3.5424 11.4121 Å, 90.00 90.00 90.00°
Last column: nearest neighbours and their distance in Å.
Positions (direct):
Ni: 0.0000 0.0000 0.0000  4 Br 2.50
Ni: 0.5000 0.5000 0.5000  4 Br 2.50
Ir: 0.0000 0.5000 0.7500  4 Br 2.50
Ir: 0.5000 0.0000 0.2500  4 Br 2.50
Br: 0.0000 0.0000 0.5000  4 Ni 2.50
Br: 0.0000 0.5000 0.2500  4 Ir 2.50
Br: 0.5000 0.0000 0.7500  4 Ir 2.50
Br: 0.5000 0.5000 0.0000  4 Ni 2.50

Output
Energy above the lowest structure with this stoichiometry = 400 meV per atom
Electronic total energy = -3.994 eV/atom
Size of the total moment = 0.21 μB/atom
Symmetry = I-4m2 (119)

Entry from the Alexandria database: a relaxed structure of NiIrBr2 (GGA-PBEsol).

Cell: 3.4131 3.4131 6.6175 Å, 90.00 90.00 90.00°
Last column: nearest neighbours and their distance in Å.
Positions (direct):
Ni: 0.0000 0.0000 0.0000  1 Br 2.24, 4 Ir 2.49
Ir: 0.5000 0.5000 0.9049  1 Br 2.41, 4 Ni 2.49
Br: 0.0000 0.0000 0.6618  1 Ni 2.24
Br: 0.5000 0.5000 0.2691  1 Ir 2.41

Output
Energy above the lowest structure with this stoichiometry = 0 meV per atom
Electronic total energy = -4.394 eV/atom
Size of the total moment = 0.14 μB/atom
Symmetry = P4mm (99)

Entry from the Alexandria database: a relaxed structure of NiIrBr2 (GGA-PBEsol).

Cell: 3.0067 5.6916 8.0252 Å, 90.00 90.00 90.00°
Last column: nearest neighbours and their distance in Å.
Positions (direct):
Ni: 0.0000 0.0000 0.0000  4 Br 2.40
Ni: 0.5000 0.5000 0.0000  4 Br 2.40
Ir: 0.0000 0.0000 0.5000  4 Br 2.61
Ir: 0.5000 0.5000 0.5000  4 Br 2.61
Br: 0.0000 0.5000 0.2335  2 Ni 2.40, 2 Ir 2.61
Br: 0.0000 0.5000 0.7665  2 Ni 2.40, 2 Ir 2.61
Br: 0.5000 0.0000 0.2335  2 Ni 2.40, 2 Ir 2.61
Br: 0.5000 0.0000 0.7665  2 Ni 2.40, 2 Ir 2.61

Output
Energy above the lowest structure with this stoichiometry = 265 meV per atom
Electronic total energy = -4.129 eV/atom
Size of the total moment = 0.00 μB/atom
Symmetry = Cmmm (65)

Entry from the Alexandria database: a relaxed structure of NiIrSe2Br (GGA-PBEsol).

Cell: 4.7640 4.7640 5.1250 Å, 90.00 90.00 90.00°
Last column: nearest neighbours and their distance in Å.
Positions (direct):
Ni: 0.0000 0.0000 0.0000  4 Br 3.37, 8 Se 3.50
Ir: 0.5000 0.5000 0.5000  4 Se 2.38, 2 Br 2.56
Se: 0.0000 0.5000 0.5000  2 Ir 2.38
Se: 0.5000 0.0000 0.5000  2 Ir 2.38
Br: 0.5000 0.5000 0.0000  2 Ir 2.56

Output
Energy above the lowest structure with this stoichiometry = 0 meV per atom
Electronic total energy = -4.149 eV/atom
Size of the total moment = 0.26 μB/atom
Symmetry = P4/mmm (123)

Entry from the Alexandria database: a relaxed structure of NiIrSe2Br (GGA-PBEsol).

Cell: 4.5561 4.5561 4.5319 Å, 90.00 90.00 90.00°
Last column: nearest neighbours and their distance in Å.
Positions (direct):
Ni: 0.0000 0.0000 0.0000  2 Br 2.27, 4 Se 2.28
Ir: 0.5000 0.5000 0.5000  8 Se 3.21, 4 Br 3.22
Se: 0.0000 0.5000 0.0000  2 Ni 2.28
Se: 0.5000 0.0000 0.0000  2 Ni 2.28
Br: 0.0000 0.0000 0.5000  2 Ni 2.27

Output
Energy above the lowest structure with this stoichiometry = 46 meV per atom
Electronic total energy = -4.104 eV/atom
Size of the total moment = 0.02 μB/atom
Symmetry = P4/mmm (123)

Entry from the Alexandria database: a relaxed structure of IrBrO3 (GGA-PBEsol).

Cell: 3.9592 3.9592 3.9592 Å, 90.00 90.00 90.00°
Last column: nearest neighbours and their distance in Å.
Positions (direct):
Ir: 0.0000 0.0000 0.0000  12 O 2.80
Br: 0.5000 0.5000 0.5000  6 O 1.98
O: 0.0000 0.5000 0.5000  2 Br 1.98
O: 0.5000 0.0000 0.5000  2 Br 1.98
O: 0.5000 0.5000 0.0000  2 Br 1.98

Output
Electronic total energy = -4.014 eV/atom
Size of the total moment = 0.57 μB/atom
Symmetry = Pm-3m (221)

Entry from the Alexandria database: a relaxed structure of IrRhBrO2 (GGA-PBEsol).

Cell: 3.6632 3.6632 5.4256 Å, 90.00 90.00 90.00°
Last column: nearest neighbours and their distance in Å.
Positions (direct):
Ir: 0.0000 0.0000 0.0000  4 Br 2.59, 2 Rh 2.71
Rh: 0.0000 0.0000 0.5000  4 O 1.83
Br: 0.5000 0.5000 0.0000  4 Ir 2.59
O: 0.0000 0.5000 0.5000  2 Rh 1.83
O: 0.5000 0.0000 0.5000  2 Rh 1.83

Output
Electronic total energy = -5.860 eV/atom
Size of the total moment = 0.00 μB/atom
Symmetry = P4/mmm (123)

Entry from the Alexandria database: a relaxed structure of IrOs2Br (GGA-PBEsol).

Cell: 2.7970 2.7970 7.6817 Å, 90.00 90.00 90.00°
Last column: nearest neighbours and their distance in Å.
Positions (direct):
Ir: 0.0000 0.0000 0.0000  8 Os 2.69, 4 Ir 2.80
Os: 0.5000 0.5000 0.2380  4 Ir 2.69, 4 Os 2.80, 4 Br 2.82
Os: 0.5000 0.5000 0.7620  4 Ir 2.69, 4 Os 2.80, 4 Br 2.82
Br: 0.0000 0.0000 0.5000  4 Br 2.80, 8 Os 2.82

Output
Energy above the lowest structure with this stoichiometry = 177 meV per atom
Electronic total energy = -8.057 eV/atom
Size of the total moment = 0.00 μB/atom
Symmetry = P4/mmm (123)

Entry from the Alexandria database: a relaxed structure of IrOs2Br (GGA-PBEsol).

Cell: 2.7590 3.7209 6.3839 Å, 90.00 90.00 90.00°
Last column: nearest neighbours and their distance in Å.
Positions (direct):
Ir: 0.0000 0.0000 0.0000  8 Os 2.64, 2 Ir 2.76
Os: 0.5000 0.5000 0.1987  3 Os 2.54-2.76, 4 Ir 2.64, 2 Br 2.68
Os: 0.5000 0.5000 0.8013  3 Os 2.54-2.76, 4 Ir 2.64, 2 Br 2.68
Br: 0.5000 0.0000 0.5000  4 Os 2.68, 2 Br 2.76

Output
Energy above the lowest structure with this stoichiometry = 0 meV per atom
Electronic total energy = -8.233 eV/atom
Size of the total moment = 0.00 μB/atom
Symmetry = Pmmm (47)

Entry from the Alexandria database: a relaxed structure of IrOs2Br (GGA-PBEsol).

Cell: 2.8177 2.8177 26.0268 Å, 90.00 90.00 120.00°
Last column: nearest neighbours and their distance in Å.
Positions (direct):
Ir: 0.0000 0.0000 0.0000  6 Os 2.68, 6 Ir 2.82
Ir: 0.3333 0.6667 0.6667  6 Os 2.68, 6 Ir 2.82
Ir: 0.6667 0.3333 0.3333  6 Os 2.68, 6 Ir 2.82
Os: 0.0000 0.0000 0.2516  3 Ir 2.68, 3 Br 2.74, 6 Os 2.82
Os: 0.0000 0.0000 0.7484  3 Ir 2.68, 3 Br 2.74, 6 Os 2.82
Os: 0.3333 0.6667 0.4151  3 Ir 2.68, 3 Br 2.74, 6 Os 2.82
Os: 0.3333 0.6667 0.9182  3 Ir 2.68, 3 Br 2.74, 6 Os 2.82
Os: 0.6667 0.3333 0.0818  3 Ir 2.68, 3 Br 2.74, 6 Os 2.82
Os: 0.6667 0.3333 0.5849  3 Ir 2.68, 3 Br 2.74, 6 Os 2.82
Br: 0.0000 0.0000 0.5000  6 Os 2.74, 6 Br 2.82
Br: 0.3333 0.6667 0.1667  6 Os 2.74, 6 Br 2.82
Br: 0.6667 0.3333 0.8333  6 Os 2.74, 6 Br 2.82

Output
Energy above the lowest structure with this stoichiometry = 17 meV per atom
Electronic total energy = -8.216 eV/atom
Size of the total moment = 0.00 μB/atom
Symmetry = R-3m (166)

Entry from the Alexandria database: a relaxed structure of IrOs2Br (GGA-PBEsol).

Cell: 2.7390 4.4037 10.6118 Å, 90.00 90.00 90.00°
Last column: nearest neighbours and their distance in Å.
Positions (direct):
Ir: 0.0000 0.0000 0.0000  6 Os 2.68-2.80, 2 Ir 2.74
Ir: 0.5000 0.5000 0.5000  6 Os 2.68-2.80, 2 Ir 2.74
Os: 0.0000 0.0000 0.4349  4 Os 2.56-2.74, 4 Ir 2.68
Os: 0.0000 0.5000 0.7306  4 Os 2.56-2.74, 4 Br 2.61, 2 Ir 2.80
Os: 0.5000 0.0000 0.2306  4 Os 2.56-2.74, 4 Br 2.61, 2 Ir 2.80
Os: 0.5000 0.5000 0.9349  4 Os 2.56-2.74, 4 Ir 2.68
Br: 0.0000 0.5000 0.2030  4 Os 2.61, 2 Br 2.74
Br: 0.5000 0.0000 0.7030  4 Os 2.61, 2 Br 2.74

Output
Energy above the lowest structure with this stoichiometry = 250 meV per atom
Electronic total energy = -7.983 eV/atom
Size of the total moment = 0.00 μB/atom
Symmetry = Imm2 (44)

Entry from the Alexandria database: a relaxed structure of PIrBr (GGA-PBEsol).

Cell: 2.9252 3.4524 11.3800 Å, 90.00 90.00 90.00°
Last column: nearest neighbours and their distance in Å.
Positions (direct):
P: 0.0000 0.0000 0.0000  4 Ir 2.36, 1 Br 2.41
P: 0.5000 0.5000 0.5000  4 Ir 2.36, 1 Br 2.41
Ir: 0.0000 0.0000 0.4405  4 P 2.36, 1 Br 2.60
Ir: 0.5000 0.5000 0.9405  4 P 2.36, 1 Br 2.60
Br: 0.0000 0.0000 0.2118  1 P 2.41, 1 Ir 2.60
Br: 0.5000 0.5000 0.7118  1 P 2.41, 1 Ir 2.60

Output
Energy above the lowest structure with this stoichiometry = 0 meV per atom
Electronic total energy = -5.761 eV/atom
Size of the total moment = 0.00 μB/atom
Symmetry = Imm2 (44)

Entry from the Alexandria database: a relaxed structure of PIr2Br (GGA-PBEsol).

Cell: 2.8897 3.5588 6.9839 Å, 90.00 90.00 90.00°
Last column: nearest neighbours and their distance in Å.
Positions (direct):
P: 0.0000 0.0000 0.0000  5 Ir 2.32-2.40
Ir: 0.0000 0.0000 0.6682  1 P 2.32
Ir: 0.5000 0.5000 0.8962  4 P 2.40
Br: 0.5000 0.5000 0.4306  4 Ir 2.83, 2 Br 2.89

Output
Energy above the lowest structure with this stoichiometry = 0 meV per atom
Electronic total energy = -6.440 eV/atom
Size of the total moment = 0.00 μB/atom
Symmetry = Pmm2 (25)

Entry from the Alexandria database: a relaxed structure of PIr2Br (GGA-PBEsol).

Cell: 2.8303 4.2878 5.0534 Å, 90.00 90.00 90.00°
Last column: nearest neighbours and their distance in Å.
Positions (direct):
P: 0.0000 0.0000 0.0000  4 Ir 2.57, 2 P 2.83
Ir: 0.0000 0.5000 0.5000  4 Br 2.57, 2 Ir 2.83
Ir: 0.5000 0.5000 0.0000  4 P 2.57, 2 Ir 2.83
Br: 0.5000 0.0000 0.5000  4 Ir 2.57, 2 Br 2.83

Output
Energy above the lowest structure with this stoichiometry = 421 meV per atom
Electronic total energy = -6.018 eV/atom
Size of the total moment = 0.00 μB/atom
Symmetry = Pmmm (47)

Entry from the Alexandria database: a relaxed structure of PIrBr (GGA-PBEsol).

Cell: 6.0257 6.0257 6.0257 Å, 90.00 90.00 90.00°
Last column: nearest neighbours and their distance in Å.
Positions (direct):
P: 0.0000 0.0000 0.0000  4 Br 2.61, 4 Ir 2.61
P: 0.0000 0.5000 0.5000  4 Br 2.61, 4 Ir 2.61
P: 0.5000 0.0000 0.5000  4 Br 2.61, 4 Ir 2.61
P: 0.5000 0.5000 0.0000  4 Br 2.61, 4 Ir 2.61
Ir: 0.2500 0.2500 0.2500  4 P 2.61
Ir: 0.2500 0.7500 0.7500  4 P 2.61
Ir: 0.7500 0.2500 0.7500  4 P 2.61
Ir: 0.7500 0.7500 0.2500  4 P 2.61
Br: 0.2500 0.2500 0.7500  4 P 2.61
Br: 0.2500 0.7500 0.2500  4 P 2.61
Br: 0.7500 0.2500 0.2500  4 P 2.61
Br: 0.7500 0.7500 0.7500  4 P 2.61

Output
Energy above the lowest structure with this stoichiometry = 1033 meV per atom
Electronic total energy = -4.728 eV/atom
Size of the total moment = 0.00 μB/atom
Symmetry = F-43m (216)

The records above give, respectively, volume values of 143.21 77.09 137.33 116.32 94.07 62.06 72.81 60.09 65.54 178.95 128.00 114.93 71.82 61.33 218.78 Å³/cell.